1.
Entry from Alexandria via LeMat-Bulk: an optimized crystal structure of Pr8P3Se4Cl (GGA-PBE).

Summary:
Magnetic moment = 0.000 Bohr magnetons per cell
Uncorrected energy = -6.136 eV per atom
SG = No. 166

Lattice parameters (Å, degrees): 8.4936 8.4936 8.4936 59.64 59.64 59.64
Atoms (fractional coordinates):
Pr  0.2286  0.7541  0.7541
Pr  0.2433  0.2433  0.2433
Pr  0.2459  0.2459  0.7714
Pr  0.2459  0.7714  0.2459
Pr  0.7541  0.2286  0.7541
Pr  0.7541  0.7541  0.2286
Pr  0.7567  0.7567  0.7567
Pr  0.7714  0.2459  0.2459
P  0.0000  0.0000  0.5000
P  0.0000  0.5000  0.0000
P  0.5000  0.0000  0.0000
Se  0.0000  0.0000  0.0000
Se  0.0000  0.5000  0.5000
Se  0.5000  0.0000  0.5000
Se  0.5000  0.5000  0.0000
Cl  0.5000  0.5000  0.5000


2.
Entry from Alexandria via LeMat-Bulk: an optimized crystal structure of Pr6PSe3Cl2 (GGA-PBE).

Summary:
Magnetic moment = 0.000 Bohr magnetons per cell
Uncorrected energy = -5.700 eV per atom
SG = No. 12

Lattice parameters (Å, degrees): 7.3174 7.3174 7.2331 99.53 99.53 118.84
Atoms (fractional coordinates):
Pr  0.0777  0.3889  0.7432
Pr  0.2196  0.2196  0.2446
Pr  0.3889  0.0777  0.7432
Pr  0.6111  0.9223  0.2568
Pr  0.7804  0.7804  0.7554
Pr  0.9223  0.6111  0.2568
P  0.0000  0.0000  0.5000
Se  0.1764  0.8236  0.0000
Se  0.5000  0.5000  0.0000
Se  0.8236  0.1764  0.0000
Cl  0.3393  0.6607  0.5000
Cl  0.6607  0.3393  0.5000


3.
Entry from Alexandria via LeMat-Bulk: an optimized crystal structure of Pr4SiP2Cl (GGA-PBE).

Summary:
Magnetic moment = 0.000 Bohr magnetons per cell
Uncorrected energy = -6.032 eV per atom
SG = No. 10

Lattice parameters (Å, degrees): 7.3062 4.2123 7.3230 90.00 108.98 90.00
Atoms (fractional coordinates):
Pr  0.2339  0.0000  0.2320
Pr  0.2479  0.5000  0.7581
Pr  0.7521  0.5000  0.2419
Pr  0.7661  0.0000  0.7680
Si  0.0000  0.0000  0.5000
P  0.0000  0.5000  0.0000
P  0.5000  0.0000  0.0000
Cl  0.5000  0.5000  0.5000


Number 1: N(E_F) 0.42 states/eV per atom. Number 2: N(E_F) 0.45 states/eV per atom. Number 3: N(E_F) 0.32 states/eV per atom.